Entry A
A plane-wave DFT calculation with GGA-PBE was carried out for an optimized crystal structure of CuTcRu2.

Crystal system: monoclinic
SG: C2/m, No. 12

Cell: 8.899 2.695 4.655 Å, 90.00 99.68 90.00°
Atoms (fractional coordinates):
1 Cu 0.000 0.000 0.000
2 Cu 0.500 0.500 0.000
3 Tc 0.000 0.500 0.500
4 Tc 0.500 0.000 0.500
5 Ru 0.246 0.000 0.749
6 Ru 0.254 0.500 0.251
7 Ru 0.746 0.500 0.749
8 Ru 0.754 0.000 0.251

Entry B
A plane-wave DFT calculation with GGA-PBE was carried out for an optimized crystal structure of CuTcRu2.

Crystal system: tetragonal
SG: I4/mmm, No. 139

Cell: 3.819 3.819 7.522 Å, 90.00 90.00 90.00°
Atoms (fractional coordinates):
1 Cu 0.000 0.000 0.000
2 Cu 0.500 0.500 0.500
3 Tc 0.000 0.000 0.500
4 Tc 0.500 0.500 0.000
5 Ru 0.000 0.500 0.250
6 Ru 0.000 0.500 0.750
7 Ru 0.500 0.000 0.250
8 Ru 0.500 0.000 0.750

It turns out entry A is the most stable, with the second structure 27 meV/atom higher.

Entry A
A plane-wave DFT calculation with GGA-PBE was carried out for an optimized crystal structure of CuTcRu2.

Crystal system: tetragonal
SG: P4mm, No. 99

Cell: 2.692 2.692 7.573 Å, 90.00 90.00 90.00°
Atoms (fractional coordinates):
1 Cu 0.000 0.000 0.000
2 Tc 0.500 0.500 0.751
3 Ru 0.000 0.000 0.492
4 Ru 0.500 0.500 0.246

Entry B
A plane-wave DFT calculation with GGA-PBE was carried out for an optimized crystal structure of CuTcRu2.

Crystal system: orthorhombic
SG: Pmm2, No. 25

Cell: 2.711 3.858 5.238 Å, 90.00 90.00 90.00°
Atoms (fractional coordinates):
1 Cu 0.000 0.000 0.000
2 Tc 0.500 0.500 0.247
3 Ru 0.000 0.000 0.499
4 Ru 0.500 0.500 0.768

Entry C
A plane-wave DFT calculation with GGA-PBE was carried out for an optimized crystal structure of CuTcRu2.

Crystal system: orthorhombic
SG: Cmmm, No. 65

Cell: 2.801 4.500 8.959 Å, 90.00 90.00 90.00°
Atoms (fractional coordinates):
1 Cu 0.000 0.000 0.000
2 Cu 0.500 0.500 0.000
3 Tc 0.000 0.000 0.500
4 Tc 0.500 0.500 0.500
5 Ru 0.000 0.500 0.250
6 Ru 0.000 0.500 0.750
7 Ru 0.500 0.000 0.250
8 Ru 0.500 0.000 0.750

It turns out entry B is the most stable, with the second structure 23 meV/atom higher.